[1]
The following is a DFT calculation (PBE-GGA) of an optimized crystal structure of Tb3Pr2Ho6Er.

For the calculated formation energy, the calculation gives 0.017 eV/atom. The value obtained for the density is 8305 kg/m³. As for the calculated volume: 31.92 Å³/atom.

It has space group C2/m (No. 12), with a = 6.174 Å, b = 10.687 Å, c = 11.788 Å, α = 90.00°, β = 100.01° and γ = 90.00°. The distinct sites, in fractional coordinates, are Tb at (0.000, 0.000, 0.000), Tb at (0.000, 0.334, 0.000), Pr at (0.000, 0.167, 0.500), Ho at (0.248, 0.500, 0.247), Ho at (0.249, 0.166, 0.248) and Er at (0.000, 0.500, 0.500).

[2]
The following is a DFT calculation (PBE-GGA) of an optimized crystal structure of BeCu2W.

For the calculated formation energy, the calculation gives 0.323 eV/atom. The value obtained for the density is 10659 kg/m³. As for the calculated volume: 12.46 Å³/atom. Its offset from the most stable computed form is 250 meV/atom.

It has space group Pmmm (No. 47), with a = 2.637 Å, b = 4.256 Å, c = 4.442 Å, α = 90.00°, β = 90.00° and γ = 90.00°. The distinct sites, in fractional coordinates, are Be at (0.000, 0.000, 0.000), Cu at (0.000, 0.500, 0.500), Cu at (0.500, 0.000, 0.500) and W at (0.500, 0.500, 0.000).

[3]
The following is a DFT calculation (PBE-GGA) of an optimized crystal structure of Ba2SrBiSb.

The value obtained for the density is 4218 kg/m³. Its uncorrected formation energy is -3.31 eV per formula unit. As for the calculated volume: 54.56 Å³/atom.

It has space group P4mm (No. 99), with a = 6.518 Å, b = 6.518 Å, c = 6.421 Å, α = 90.00°, β = 90.00° and γ = 90.00°. The distinct sites, in fractional coordinates, are Ba at (0.000, 0.500, 0.000), Sr at (0.000, 0.000, 0.573), Bi at (0.500, 0.500, 0.696) and Sb at (0.000, 0.000, 0.086).